{"formula": "Nd3Si2S8Br", "functional": "PBEsol", "state": "relaxed", "lattice": [[7.7266, -3.8282, 0.0000], [7.7266, 3.8282, 0.0000], [-1.4076, 0.0000, 10.6973]], "species": ["Nd", "Nd", "Nd", "Nd", "Nd", "Nd", "Si", "Si", "Si", "Si", "S", "S", "S", "S", "S", "S", "S", "S", "S", "S", "S", "S", "S", "S", "S", "S", "Br", "Br"], "frac_coords": [[0.1110, 0.8890, 0.7500], [0.1824, 0.4252, 0.3159], [0.4252, 0.1824, 0.8159], [0.5748, 0.8176, 0.1841], [0.8176, 0.5748, 0.6841], [0.8890, 0.1110, 0.2500], [0.1260, 0.1941, 0.0292], [0.1941, 0.1260, 0.5292], [0.8059, 0.8740, 0.4708], [0.8740, 0.8059, 0.9708], [0.0512, 0.2441, 0.8368], [0.0940, 0.7777, 0.4530], [0.1044, 0.6029, 0.8538], [0.2125, 0.3596, 0.5851], [0.2223, 0.9060, 0.0470], [0.2441, 0.0512, 0.3368], [0.3596, 0.2125, 0.0851], [0.3971, 0.8956, 0.6462], [0.6029, 0.1044, 0.3538], [0.6404, 0.7875, 0.9149], [0.7559, 0.9488, 0.6632], [0.7777, 0.0940, 0.9530], [0.7875, 0.6404, 0.4149], [0.8956, 0.3971, 0.1462], [0.9060, 0.2223, 0.5470], [0.9488, 0.7559, 0.1632], [0.4940, 0.5060, 0.2500], [0.5060, 0.4940, 0.7500]], "sg": "C2/c (15)", "dos_ef_per_ev_cell": 0.00, "dft_energy_ev_per_atom": -6.097, "volume_a3_per_cell": 633, "e_form_raw_kj_per_mol_fu": -2066.6}